Density functional theory data (PBE) for a relaxed Zr6TlC crystal.

Its mass density is 7.5 g cm⁻³. The calculation puts the density of states at the Fermi level at 7.77 states/eV/f.u. The calculation puts the formation enthalpy at 0 K at -1.73 eV per formula unit. Its total magnetization is 0.00 μB/f.u.

Unit cell a=5.6459 b=5.6459 c=5.6459 alpha=100.25 beta=100.25 gamma=100.25
Closest atoms and distances in Å follow each position.
Element x y z (fractional)
Zr  0.0835  0.6652  0.7679  1 C 2.27
Zr  0.2321  0.9165  0.3348  1 C 2.27
Zr  0.3348  0.2321  0.9165  1 C 2.27
Zr  0.6652  0.7679  0.0835  1 C 2.27
Zr  0.7679  0.0835  0.6652  1 C 2.27
Zr  0.9165  0.3348  0.2321  1 C 2.27
Tl  0.5000  0.5000  0.5000  12 Zr 3.20-3.26
C  0.0000  0.0000  0.0000  6 Zr 2.27

Density functional theory data (PBE) for a relaxed Zr6Tl3C crystal.

Its mass density is 8.6 g cm⁻³. The calculation puts the density of states at the Fermi level at 8.93 states/eV/f.u. The calculation puts the formation enthalpy at 0 K at -1.14 eV per formula unit. Its total magnetization is 0.00 μB/f.u.

Unit cell a=5.9765 b=7.8763 c=11.0619 alpha=90.00 beta=120.05 gamma=90.00
Closest atoms and distances in Å follow each position.
Element x y z (fractional)
Zr  0.0702  0.0603  0.2182  1 C 2.28
Zr  0.0702  0.4397  0.7182  1 C 2.28
Zr  0.1765  0.7395  0.0632  1 C 2.25
Zr  0.1765  0.7605  0.5632  1 C 2.25
Zr  0.3833  0.1393  0.0423  1 C 2.37
Zr  0.3833  0.3607  0.5423  1 C 2.37
Zr  0.6167  0.6393  0.4577  1 C 2.37
Zr  0.6167  0.8607  0.9577  1 C 2.37
Zr  0.8235  0.2395  0.4368  1 C 2.25
Zr  0.8235  0.2605  0.9368  1 C 2.25
Zr  0.9298  0.5603  0.2818  1 C 2.28
Zr  0.9298  0.9397  0.7818  1 C 2.28
Tl  0.3164  0.1020  0.7255  7 Zr 2.97-3.26, 1 Tl 3.29
Tl  0.3164  0.3980  0.2255  7 Zr 2.97-3.26, 1 Tl 3.29
Tl  0.5000  0.0000  0.5000  6 Zr 2.92-3.02
Tl  0.5000  0.5000  0.0000  6 Zr 2.92-3.02
Tl  0.6836  0.6020  0.7745  7 Zr 2.97-3.26, 1 Tl 3.29
Tl  0.6836  0.8980  0.2745  7 Zr 2.97-3.26, 1 Tl 3.29
C  0.0000  0.0000  0.0000  6 Zr 2.25-2.37
C  0.0000  0.5000  0.5000  6 Zr 2.25-2.37

Density functional theory data (PBE) for a relaxed Zr3TlC crystal.

Its mass density is 5.9 g cm⁻³. The calculation puts the density of states at the Fermi level at 3.99 states/eV/f.u. The calculation puts the formation enthalpy at 0 K at 5.43 eV per formula unit. Its total magnetization is 0.00 μB/f.u.

Unit cell a=12.0258 b=12.0258 c=12.0258 alpha=156.53 beta=156.53 gamma=33.43
Closest atoms and distances in Å follow each position.
Element x y z (fractional)
Zr  0.1860  0.1860  0.0000  2 C 2.60, 2 Tl 2.86
Zr  0.3727  0.1325  0.7598  2 Zr 2.35-2.54
Zr  0.3727  0.6130  0.2402  2 Zr 2.35-2.54
Zr  0.3870  0.6273  0.7598  2 Zr 2.35-2.54
Zr  0.8140  0.8140  0.0000  2 C 2.60, 2 Tl 2.86
Zr  0.8675  0.6273  0.2402  2 Zr 2.35-2.54
Tl  0.2500  0.7500  0.5000  8 Zr 2.86-3.10
Tl  0.5000  0.5000  0.0000  4 Zr 3.16
C  0.6483  0.1483  0.5000  6 Zr 2.60-2.76
C  0.8517  0.3517  0.5000  6 Zr 2.60-2.76

> Which of these has the highest mass density?

Zr6Tl3C